(1)
Computed, not measured: crystalline TaBRhS2 at its relaxed geometry at the PBE-GGA level of DFT.

It has space group P4/mmm (No. 123), with a = 4.038 Å, b = 4.038 Å, c = 4.414 Å, α = 90.00°, β = 90.00° and γ = 90.00°. The distinct sites, in fractional coordinates, are Ta at (0.000, 0.000, 0.000), B at (0.000, 0.000, 0.500), Rh at (0.500, 0.500, 0.000) and S at (0.000, 0.500, 0.500).

The value obtained for the energy is -0.447 Ry per atom. As for the uncorrected formation energy: 0.75 eV/atom. For the total magnetization, the calculation gives 0.00 μB per atom.

---

(2)
Computed, not measured: crystalline VBRh2S at its relaxed geometry at the PBE-GGA level of DFT.

It has space group P4/mmm (No. 123), with a = 4.512 Å, b = 4.512 Å, c = 4.005 Å, α = 90.00°, β = 90.00° and γ = 90.00°. The distinct sites, in fractional coordinates, are V at (0.000, 0.000, 0.000), B at (0.000, 0.000, 0.500), Rh at (0.000, 0.500, 0.000) and S at (0.500, 0.500, 0.500).

The value obtained for the energy is -0.422 Ry per atom. As for the uncorrected formation energy: 1.19 eV/atom. For the total magnetization, the calculation gives 0.00 μB per atom.

---

(3)
Computed, not measured: crystalline YBRhS2 at its relaxed geometry at the PBE-GGA level of DFT.

It has space group P4/mmm (No. 123), with a = 5.153 Å, b = 5.153 Å, c = 4.806 Å, α = 90.00°, β = 90.00° and γ = 90.00°. The distinct sites, in fractional coordinates, are Y at (0.000, 0.000, 0.000), B at (0.000, 0.000, 0.500), Rh at (0.500, 0.500, 0.500) and S at (0.000, 0.500, 0.000).

The value obtained for the energy is -0.350 Ry per atom. As for the uncorrected formation energy: 0.99 eV/atom. For the total magnetization, the calculation gives 0.36 μB per atom.

---

(4)
Computed, not measured: crystalline ZnBRh2S at its relaxed geometry at the PBE-GGA level of DFT.

It has space group P4/mmm (No. 123), with a = 4.394 Å, b = 4.394 Å, c = 4.415 Å, α = 90.00°, β = 90.00° and γ = 90.00°. The distinct sites, in fractional coordinates, are Zn at (0.000, 0.000, 0.000), B at (0.500, 0.500, 0.000), Rh at (0.000, 0.500, 0.500) and S at (0.000, 0.000, 0.500).

The value obtained for the energy is -0.315 Ry per atom. As for the uncorrected formation energy: 1.07 eV/atom. For the total magnetization, the calculation gives 0.00 μB per atom.

---

Q: The highest energy belongs to which entry?
A: ZnBRh2S

---

Q: What is the formula in the fourth record?
A: ZnBRh2S

---

Q: Which formula does entry 4 have?
A: ZnBRh2S

---

Q: Among the records above, which one has the lowest energy?
A: TaBRhS2